Record 1
VASP calculation (PBE-GGA) on an optimized crystal structure of PmEuGdTh.

Cell lengths 5.802, 5.802, 5.802 Å; angles 60.00, 60.00, 60.00 degrees
Each line ends with the local moment (μB).
Fractional positions:
Eu (0.500, 0.500, 0.500)  6.90
Th (0.000, 0.000, 0.000)  0.31
Pm (0.750, 0.750, 0.750)  0.12
Gd (0.250, 0.250, 0.250)  7.32

The total DFT energy (no corrections) is -35.667 eV for the cell shown. As for the mass density: 8.252 g/cm3. The formation energy comes out at 215 meV per atom.


Record 2
VASP calculation (PBE-GGA) on an optimized crystal structure of BaCeInI6.

Cell lengths 8.498, 8.498, 14.706 Å; angles 90.00, 90.00, 120.00 degrees
Each line ends with the local moment (μB).
Fractional positions:
In (0.667, 0.333, 0.750)  0.00
I (0.667, 0.638, 0.127)  -0.01
Ce (0.667, 0.333, 0.250)  1.00
I (0.029, 0.667, 0.873)  -0.01
I (0.362, 0.029, 0.127)  -0.01
In (0.333, 0.667, 0.250)  0.00
I (0.638, 0.667, 0.627)  -0.01
I (0.029, 0.362, 0.627)  -0.01
I (0.971, 0.638, 0.373)  -0.01
I (0.638, 0.971, 0.873)  -0.01
I (0.971, 0.333, 0.127)  -0.01
Ce (0.333, 0.667, 0.750)  1.00
I (0.333, 0.971, 0.627)  -0.01
Ba (0.000, 0.000, 0.500)  0.00
Ba (0.000, 0.000, 0.000)  0.00
I (0.333, 0.362, 0.873)  -0.01
I (0.667, 0.029, 0.373)  -0.01
I (0.362, 0.333, 0.373)  -0.01

The total DFT energy (no corrections) is -62.648 eV for the cell shown. As for the mass density: 4.166 g/cm3. The formation energy from raw total energies comes out at -1.27 eV/atom.


Record 3
VASP calculation (PBE-GGA) on an optimized crystal structure of RbNbReW2.

Cell lengths 4.644, 4.623, 4.644 Å; angles 90.00, 90.00, 90.00 degrees
Fractional positions:
W (0.500, 0.000, 0.000)
Nb (0.500, 0.500, 0.500)
Re (0.000, 0.500, 0.000)
W (0.000, 0.000, 0.500)
Rb (0.000, 0.000, 0.000)

The total DFT energy (no corrections) is -30.837 eV for the cell shown. As for the mass density: 12.195 g/cm3. The formation energy comes out at 3711 meV per atom.


Record 4
VASP calculation (PBE-GGA) on an optimized crystal structure of LaY2Tm4Sc.

Cell lengths 9.349, 9.349, 11.604 Å; angles 128.36, 128.36, 88.39 degrees
Each line ends with the local moment (μB).
Fractional positions:
Tm (0.239, 0.761, 0.000)  0.17
Tm (0.261, 0.739, 0.500)  0.17
Tm (0.248, 0.251, 0.014)  0.14
Tm (0.739, 0.261, 0.500)  0.17
La (0.000, 0.500, 0.000)  0.14
Tm (0.752, 0.749, 0.986)  0.14
Y (0.000, 0.000, 0.500)  0.17
Y (0.500, 0.500, 0.000)  0.17
Sc (0.500, 0.500, 0.500)  0.17
Y (0.500, 0.000, 0.000)  0.08
Tm (0.249, 0.252, 0.486)  0.14
La (0.000, 0.500, 0.500)  0.14
Sc (0.000, 0.000, 0.000)  0.17
Tm (0.751, 0.748, 0.514)  0.14
Y (0.500, 0.000, 0.500)  0.08
Tm (0.761, 0.239, 0.000)  0.17

The total DFT energy (no corrections) is -77.202 eV for the cell shown. As for the mass density: 6.788 g/cm3. The formation energy comes out at 434 meV per atom.


Record 5
VASP calculation (PBE-GGA) on an optimized crystal structure of KLi2SbPt.

Cell lengths 5.168, 6.527, 5.168 Å; angles 90.00, 90.00, 90.00 degrees
Each line ends with the local moment (μB).
Fractional positions:
Li (0.500, 0.000, 0.000)  0.01
Sb (0.000, 0.000, 0.000)  0.31
Li (0.000, 0.000, 0.500)  0.01
K (0.000, 0.500, 0.000)  0.02
Pt (0.500, 0.500, 0.500)  0.85

The total DFT energy (no corrections) is -12.933 eV for the cell shown. As for the mass density: 3.523 g/cm3. The formation energy from raw total energies comes out at 0.43 eV/atom.


Record 6
VASP calculation (PBE-GGA) on an optimized crystal structure of CaBiPb2.

Cell lengths 9.117, 9.117, 7.226 Å; angles 50.89, 50.89, 90.00 degrees
Fractional positions:
Ca (0.500, 0.500, 0.000)
Pb (0.645, 0.125, 0.250)
Bi (0.750, 0.250, 0.500)
Pb (0.375, 0.355, 0.750)
Pb (0.875, 0.895, 0.750)
Ca (0.250, 0.750, 0.500)
Bi (0.000, 0.000, 0.000)
Pb (0.105, 0.625, 0.250)

The total DFT energy (no corrections) is -28.134 eV for the cell shown. As for the mass density: 8.119 g/cm3. The formation energy comes out at -192 meV per atom.